No. 1
KCeInF6 | GGA-PBE | relaxed

Cell lengths 5.7116, 5.7116, 12.1393 Å; angles 90.00, 90.00, 90.00 degrees
Element x y z (fractional)
F  0.2735  0.2735  0.3357
F  0.7735  0.2265  0.8357
Ce  0.0000  0.0000  0.3329
F  0.7265  0.7265  0.3357
F  0.1796  0.8204  0.4690
F  0.2265  0.7735  0.8357
K  0.0000  0.0000  0.6645
F  0.8186  0.1814  0.2011
F  0.3204  0.3204  0.9690
In  0.5000  0.5000  0.4910
F  0.3186  0.3186  0.7011
F  0.6814  0.6814  0.7011
K  0.5000  0.5000  0.1645
F  0.8204  0.1796  0.4690
Ce  0.5000  0.5000  0.8329
In  0.0000  0.0000  0.9910
F  0.6796  0.6796  0.9690
F  0.1814  0.8186  0.2011

Properties
mass density = 3.4 g cm⁻³
crystal system = tetragonal
calculated total energy = -5.4532 eV per atom
spin magnetization = 0.00 μB/cell
formation energy from raw total energies = -3120.1 meV per atom

***

No. 2
ScTi2AlGa | GGA-PBE | relaxed

Cell lengths 4.5904, 5.0057, 4.5904 Å; angles 90.00, 90.00, 90.00 degrees
Element x y z (fractional)
Ti  0.5000  0.0000  0.0000
Al  0.5000  0.5000  0.5000
Ga  0.0000  0.5000  0.0000
Ti  0.0000  0.0000  0.5000
Sc  0.0000  0.0000  0.0000

Properties
calculated formation energy = 94 kJ per mole of atoms
mass density = 3.7 g cm⁻³
crystal system = tetragonal
calculated total energy = -4.8069 eV per atom
spin magnetization = 0.00 μB/cell

***

No. 3
Ce4NiPb2 | GGA-PBE | relaxed

Cell lengths 4.9983, 4.9983, 9.3254 Å; angles 105.54, 105.54, 90.00 degrees
Each line ends with the local moment (μB).
Element x y z (fractional)
Pb  0.6370  0.6370  0.2739  -0.03
Ce  0.0000  0.5000  0.0000  0.30
Ce  0.8259  0.8259  0.6519  0.94
Ni  0.0000  0.0000  0.0000  -0.03
Pb  0.3630  0.3630  0.7261  -0.03
Ce  0.5000  0.0000  0.0000  0.30
Ce  0.1741  0.1741  0.3481  0.94

Properties
calculated formation energy = -27 kJ per mole of atoms
energy relative to the lowest polymorph listed for this composition = 0.021 eV/atom
mass density = 8.0 g cm⁻³
crystal system = tetragonal
calculated total energy = -5.5537 eV per atom
spin magnetization = 2.76 μB/cell

***

No. 4
PrY6Er2Sc3 | GGA-PBE | relaxed

Cell lengths 6.0764, 6.0764, 11.5360 Å; angles 95.03, 95.03, 119.97 degrees
Element x y z (fractional)
Y  0.9131  0.5791  0.7402
Y  0.0869  0.4209  0.2598
Er  0.6666  0.3334  0.0000
Sc  0.8331  0.1669  0.5000
Y  0.4209  0.0869  0.2598
Sc  0.1669  0.8331  0.5000
Sc  0.5000  0.5000  0.5000
Y  0.5791  0.9131  0.7402
Y  0.7527  0.7527  0.2598
Y  0.2473  0.2473  0.7402
Er  0.3334  0.6666  0.0000
Pr  0.0000  0.0000  0.0000

Properties
calculated formation energy = 5 kJ per mole of atoms
mass density = 5.2 g cm⁻³
crystal system = monoclinic
calculated total energy = -5.9208 eV per atom
spin magnetization = 0.00 μB/cell